#1
A plane-wave DFT calculation with PBE-GGA was carried out for a relaxed structure of Nd2DyTm4.

Output
* density: 8.3 g/cm3

Structure (CIF):
```
data_Nd2DyTm4
_chemical_formula_sum 'Nd4 Dy2 Tm8'
_cell_length_a 8.7320
_cell_length_b 10.1429
_cell_length_c 9.4745
_cell_angle_alpha 144.33
_cell_angle_beta 96.58
_cell_angle_gamma 97.53
_space_group_name_H-M_alt 'P 1'
_space_group_IT_number 1
loop_
_space_group_symop_operation_xyz
'x,y,z'
loop_
_atom_site_label
_atom_site_type_symbol
_atom_site_fract_x
_atom_site_fract_y
_atom_site_fract_z
Dy1 Dy 0.0595 0.4723 0.2121
Tm1 Tm 0.3473 0.1532 0.4659
Tm2 Tm 0.4560 0.7102 0.3111
Dy2 Dy 0.1911 0.8156 0.8312
Tm3 Tm 0.9852 0.1502 0.2409
Nd1 Nd 0.7257 0.2484 0.7579
Tm4 Tm 0.8344 0.8138 0.6088
Tm5 Tm 0.9277 0.8557 0.2997
Tm6 Tm 0.7743 0.4993 0.6464
Tm7 Tm 0.4006 0.4647 0.4220
Nd2 Nd 0.5689 0.8279 0.0681
Tm8 Tm 0.2477 0.1062 0.7701
Nd3 Nd 0.6088 0.1385 0.0018
Nd4 Nd 0.1227 0.4939 0.8640
```

---

#2
A plane-wave DFT calculation with PBE-GGA was carried out for a relaxed structure of Nd2DyTm4.

Output
* density: 8.2 g/cm3

Structure (CIF):
```
data_Nd2DyTm4
_chemical_formula_sum 'Nd4 Dy2 Tm8'
_cell_length_a 8.4139
_cell_length_b 8.4139
_cell_length_c 8.4139
_cell_angle_alpha 109.52
_cell_angle_beta 109.37
_cell_angle_gamma 109.52
_space_group_name_H-M_alt 'P 1'
_space_group_IT_number 1
loop_
_space_group_symop_operation_xyz
'x,y,z'
loop_
_atom_site_label
_atom_site_type_symbol
_atom_site_fract_x
_atom_site_fract_y
_atom_site_fract_z
Nd1 Nd 0.2488 0.6238 0.1250
Tm1 Tm 0.9607 0.5867 0.7106
Tm2 Tm 0.1239 0.4133 0.3741
Dy1 Dy 0.0000 0.0000 0.0000
Nd2 Nd 0.5012 0.3762 0.6250
Tm3 Tm 0.1241 0.9133 0.3739
Tm4 Tm 0.6259 0.7499 0.0393
Tm5 Tm 0.6261 0.7501 0.5394
Nd3 Nd 0.8750 0.1238 0.4988
Tm6 Tm 0.7893 0.2499 0.8759
Dy2 Dy 0.7500 0.5000 0.2500
Tm7 Tm 0.2894 0.2501 0.8761
Tm8 Tm 0.4606 0.0867 0.2107
Nd4 Nd 0.3750 0.8762 0.7512
```

---

What is the least stable structure shown above? It is #2.